[1]
LaSn3Hg (PBE-GGA, optimized geometry); magnetization = 0.00 μB per formula unit; E = -17.46 eV/cell; ρ = 6.43 g/cm3; symmetry = No. 2; calculated volume = 179.5 Å³/cell; DFT formation energy = -0.045 eV/atom; polymorph energy (0 for the lowest one) = 0.0000 eV per atom
1.0
5.8990 0.0000 0.0000
-2.1599 5.5024 0.0000
-1.2164 -3.1502 5.5315
La Sn Hg
1 3 1
direct
0.0000 0.0000 0.0000 La
0.0000 0.0000 0.5000 Sn
0.5000 0.5000 0.0000 Sn
0.5000 0.5000 0.5000 Sn
0.0000 0.5000 0.5000 Hg

---

[2]
Pm3Dy2TmTe6 (PBE-GGA, optimized geometry); magnetization = 0.00 μB per formula unit; E = -62.74 eV/cell; ρ = 7.78 g/cm3; E_form (uncorrected) = -1.330 eV/atom; symmetry = No. 12; calculated volume = 361.7 Å³/cell
1.0
9.6431 -2.1791 0.0000
9.6431 2.1791 0.0000
-2.2409 0.0000 8.6064
Pm Dy Tm Te
3 2 1 6
direct
0.0000 0.0000 0.0000 Pm
0.3314 0.3314 0.6662 Pm
0.6686 0.6686 0.3338 Pm
0.3318 0.3318 0.1644 Dy
0.6682 0.6682 0.8356 Dy
0.0000 0.0000 0.5000 Tm
0.1623 0.1623 0.5879 Te
0.1681 0.1681 0.0779 Te
0.4982 0.4982 0.2591 Te
0.5018 0.5018 0.7409 Te
0.8319 0.8319 0.9221 Te
0.8377 0.8377 0.4121 Te

---

[3]
Ga2FeTcPt (PBE-GGA, optimized geometry); magnetization = 5.17 μB per formula unit; E = -27.00 eV/cell; ρ = 8.43 g/cm3; symmetry = No. 123; calculated volume = 96.2 Å³/cell; DFT formation energy = 0.784 eV/atom
1.0
4.4776 0.0000 0.0000
0.0000 4.4776 0.0000
0.0000 0.0000 4.7991
Ga Fe Tc Pt
2 1 1 1
direct
0.0000 0.5000 0.0000 Ga
0.5000 0.0000 0.0000 Ga
0.0000 0.0000 0.0000 Fe
0.5000 0.5000 0.5000 Tc
0.0000 0.0000 0.5000 Pt

---

[4]
BeSi2Hg (PBE-GGA, optimized geometry); magnetization = 0.00 μB per formula unit; E = -26.27 eV/cell; ρ = 6.26 g/cm3; E_form (uncorrected) = 0.435 eV/atom; symmetry = No. 122; calculated volume = 141.1 Å³/cell; polymorph energy (0 for the lowest one) = 0.0000 eV per atom
1.0
-2.1559 2.1559 7.5887
2.1559 -2.1559 7.5887
2.1559 2.1559 -7.5887
Be Si Hg
2 4 2
direct
0.0000 0.0000 0.0000 Be
0.7500 0.2500 0.5000 Be
0.0338 0.6250 0.9088 Si
0.3750 0.2838 0.4088 Si
0.7162 0.1250 0.0912 Si
0.8750 0.9662 0.5912 Si
0.2500 0.7500 0.5000 Hg
0.5000 0.5000 0.0000 Hg